[1]
VASP calculation (GGA-PBE) on an optimized crystal structure of MgGaH2Pd5.

E_tot = -4.442 eV/atom

a b c (Å): 3.951 3.951 7.969
angles (deg): 90.00 90.00 90.00
Space group P4/mmm (No. 123)
Inequivalent atoms, fractional coordinates:
Mg1 0.000 0.000 0.000 [1 per cell]
Ga1 0.500 0.500 0.500 [1 per cell]
H1 0.000 0.000 0.261 [2 per cell]
Pd1 0.000 0.000 0.500 [1 per cell]
Pd2 0.000 0.500 0.249 [4 per cell]

=====

[2]
VASP calculation (GGA-PBE) on an optimized crystal structure of Mg2GaHPd.

Energy above the most stable polymorph in this dataset = 5.2 kJ/mol of atoms
E_tot = -3.203 eV/atom

a b c (Å): 4.210 4.210 3.990
angles (deg): 90.00 90.00 90.00
Space group P4/mmm (No. 123)
Inequivalent atoms, fractional coordinates:
Mg1 0.000 0.500 0.000 [2 per cell]
Ga1 0.000 0.000 0.500 [1 per cell]
H1 0.000 0.000 0.000 [1 per cell]
Pd1 0.500 0.500 0.500 [1 per cell]

=====

[3]
VASP calculation (GGA-PBE) on an optimized crystal structure of Mg2GaHPt.

Energy above the most stable polymorph in this dataset = 3.3 kJ/mol of atoms
E_tot = -3.446 eV/atom

a b c (Å): 4.147 4.147 4.039
angles (deg): 90.00 90.00 90.00
Space group P4/mmm (No. 123)
Inequivalent atoms, fractional coordinates:
Mg1 0.000 0.500 0.000 [2 per cell]
Ga1 0.000 0.000 0.500 [1 per cell]
H1 0.000 0.000 0.000 [1 per cell]
Pt1 0.500 0.500 0.500 [1 per cell]

=====

[4]
VASP calculation (GGA-PBE) on an optimized crystal structure of Mg2GaHPt.

Energy above the most stable polymorph in this dataset = 0.0 kJ/mol of atoms
E_tot = -3.481 eV/atom

a b c (Å): 4.606 4.606 3.486
angles (deg): 90.00 90.00 90.00
Space group P4/mmm (No. 123)
Inequivalent atoms, fractional coordinates:
Mg1 0.000 0.500 0.000 [2 per cell]
Ga1 0.000 0.000 0.500 [1 per cell]
H1 0.500 0.500 0.000 [1 per cell]
Pt1 0.500 0.500 0.500 [1 per cell]

=====

[5]
VASP calculation (GGA-PBE) on an optimized crystal structure of MgGaHRu.

E_tot = -4.471 eV/atom

a b c (Å): 3.011 3.883 9.440
angles (deg): 90.00 90.00 90.00
Space group Amm2 (No. 38)
Inequivalent atoms, fractional coordinates:
Mg1 0.000 0.000 0.000 [2 per cell]
Ga1 0.500 0.000 0.713 [2 per cell]
H1 0.500 0.000 0.397 [2 per cell]
Ru1 0.000 0.000 0.286 [2 per cell]

=====

[6]
VASP calculation (GGA-PBE) on an optimized crystal structure of Mg2ScGaH.

E_tot = -3.460 eV/atom

a b c (Å): 4.309 4.309 4.298
angles (deg): 90.00 90.00 90.00
Space group P4/mmm (No. 123)
Inequivalent atoms, fractional coordinates:
Mg1 0.000 0.500 0.000 [2 per cell]
Sc1 0.000 0.000 0.500 [1 per cell]
Ga1 0.500 0.500 0.500 [1 per cell]
H1 0.000 0.000 0.000 [1 per cell]

=====

[7]
VASP calculation (GGA-PBE) on an optimized crystal structure of Mg4GaSnH.

E_tot = -2.466 eV/atom

a b c (Å): 6.070 14.815 6.070
angles (deg): 90.00 90.00 90.00
Space group Cmcm (No. 63)
Inequivalent atoms, fractional coordinates:
Mg1 0.000 0.071 0.250 [4 per cell]
Mg2 0.000 0.412 0.250 [4 per cell]
Mg3 0.250 0.250 0.000 [8 per cell]
Ga1 0.000 0.117 0.750 [4 per cell]
Sn1 0.000 0.392 0.750 [4 per cell]
H1 0.000 0.263 0.250 [4 per cell]

=====

[8]
VASP calculation (GGA-PBE) on an optimized crystal structure of Sr2MgGaH.

E_tot = -2.510 eV/atom

a b c (Å): 5.343 5.343 4.352
angles (deg): 90.00 90.00 90.00
Space group P4/mmm (No. 123)
Inequivalent atoms, fractional coordinates:
Sr1 0.000 0.500 0.000 [2 per cell]
Mg1 0.000 0.000 0.500 [1 per cell]
Ga1 0.500 0.500 0.500 [1 per cell]
H1 0.000 0.000 0.000 [1 per cell]